A plane-wave DFT calculation with PBE was carried out for a relaxed Nd2Y3In3 crystal.

The structure belongs to space group Immm (No. 71); the cell edges are 4.5095, 4.9293 and 20.6228 Å and the angles 90.00°, 90.00° and 90.00°. Symmetry generates all atoms from Nd at (0.0000, 0.0000, 0.2386), Y at (0.0000, 0.0000, 0.0000), Y at (0.0000, 0.5000, 0.1168), In at (0.0000, 0.0000, 0.5000) and In at (0.0000, 0.5000, 0.3785).

The volume is 28.7 A^3/atom. The value obtained for the density is 6.52 g cm⁻³. The value obtained for the energy relative to the elements is -284 kJ/mol of formula units.